Material: BeCrBr
Method: DFT, GGA-PBE
State: optimized geometry

## Properties
Distance to the lowest polymorph of the same formula, eV per atom: 0.096
E, eV per atom: -4.420
Total magnetization, μB per cell: 4.28
Symmetry: No. 42
E_form (uncorrected), eV per atom: 0.59

Cell lengths 6.5137, 6.0944, 3.2976 Å; angles 82.01, 67.90, 30.09 degrees
With the nearest neighbours (Å) after each atom.
Fractional positions:
Be 0.9953 0.9953 0.0047  2 Br 2.29, 2 Cr 2.40
Br 0.3620 0.3620 0.6380  2 Be 2.29
Cr 0.6427 0.6427 0.3573  2 Be 2.40